(1)
Entry from the Alexandria database: Tl2TcNi after structural relaxation (GGA-PBE).

Output
DFT formation energy	0.7113	eV per atom
total DFT energy (no corrections)	-4.51	eV per atom
symmetry	No. 119
N(E_F)	3.65	states/eV per cell
crystal system	tetragonal

a = 5.468 Å, b = 5.468 Å, c = 5.468 Å
α = 137.21°, β = 137.21°, γ = 62.12°
Fractional positions:
Tl 0.000 0.000 0.000
Tl 0.250 0.750 0.500
Tc 0.750 0.250 0.500
Ni 0.500 0.500 0.000

(2)
Entry from the Alexandria database: TlTc2Ni after structural relaxation (GGA-PBE).

Output
DFT formation energy	0.6694	eV per atom
total DFT energy (no corrections)	-6.55	eV per atom
symmetry	No. 166
N(E_F)	5.66	states/eV per cell
crystal system	trigonal

a = 9.042 Å, b = 9.042 Å, c = 9.042 Å
α = 18.28°, β = 18.28°, γ = 18.28°
Fractional positions:
Tc 0.491 0.491 0.491
Tc 0.009 0.009 0.009
Ni 0.750 0.750 0.750
Tl 0.250 0.250 0.250

(3)
Entry from the Alexandria database: Tl3TcNi after structural relaxation (GGA-PBE).

Output
DFT formation energy	0.9281	eV per atom
total DFT energy (no corrections)	-3.72	eV per atom
symmetry	No. 221
N(E_F)	3.72	states/eV per cell
crystal system	cubic

a = 5.021 Å, b = 5.021 Å, c = 5.021 Å
α = 90.00°, β = 90.00°, γ = 90.00°
Fractional positions:
Tl 0.000 0.000 0.500
Tc 0.500 0.500 0.500
Ni 0.000 0.000 0.000
Tl 0.500 0.000 0.000
Tl 0.000 0.500 0.000

(4)
Entry from the Alexandria database: TlTc2Ni after structural relaxation (GGA-PBE).

Output
DFT formation energy	0.5366	eV per atom
total DFT energy (no corrections)	-6.68	eV per atom
symmetry	No. 139
N(E_F)	5.49	states/eV per cell
crystal system	tetragonal

a = 5.125 Å, b = 5.125 Å, c = 5.125 Å
α = 136.92°, β = 136.92°, γ = 62.56°
Fractional positions:
Ni 0.750 0.250 0.500
Tc 0.000 0.000 0.000
Tc 0.500 0.500 0.000
Tl 0.250 0.750 0.500

total DFT energy (no corrections) of number 1 (Tl2TcNi)?
-4.51 eV per atom

Among the records above, which one has the lowest DFT formation energy?
number 4